# PBEsol NpSb, relaxed
# Formation energy (no corrections) = 0.09 eV/atom
# Total magnetization = 1.9517 μB per atom
# Raw total energy = -18.2 eV per cell
data_NpSb
_chemical_formula_sum 'Np1 Sb1'
_symmetry_space_group_name_H-M 'P 1'
_symmetry_Int_Tables_number 1
_cell_length_a 4.308
_cell_length_b 4.308
_cell_length_c 4.308
_cell_angle_alpha 60.00
_cell_angle_beta 60.00
_cell_angle_gamma 60.00
loop_
_symmetry_equiv_pos_as_xyz
'x,y,z'
loop_
_atom_site_label
_atom_site_type_symbol
_atom_site_fract_x
_atom_site_fract_y
_atom_site_fract_z
Np1 Np 0.000 0.000 0.000
Sb1 Sb 0.500 0.500 0.500



# PBEsol CuRhAu2, relaxed
# E_form = 0.117 eV per atom
# Total magnetization = 0.0001 μB per atom
# Raw total energy = -19.9 eV per cell
# Excess energy over the best structure of this formula in the dataset = 0.0557 eV/atom
data_CuRhAu2
_chemical_formula_sum 'Cu1 Rh1 Au2'
_symmetry_space_group_name_H-M 'P 1'
_symmetry_Int_Tables_number 1
_cell_length_a 3.905
_cell_length_b 3.905
_cell_length_c 4.765
_cell_angle_alpha 114.19
_cell_angle_beta 114.19
_cell_angle_gamma 90.00
loop_
_symmetry_equiv_pos_as_xyz
'x,y,z'
loop_
_atom_site_label
_atom_site_type_symbol
_atom_site_fract_x
_atom_site_fract_y
_atom_site_fract_z
Au1 Au 0.750 0.250 0.500
Au2 Au 0.000 0.000 0.000
Cu1 Cu 0.500 0.500 0.000
Rh1 Rh 0.250 0.750 0.500